Material: Ta2AuI
Method: DFT, PBE
State: relaxed

Summary:
- total energy (eV/f.u.) = -26.04
- formation energy from raw total energies (eV per formula unit) = 2.5
- symmetry = Fm-3m
- energy above the most stable polymorph in this dataset (meV/atom) = 0
- total magnetic moment (μB/cell) = 0.0

Geometry as POSCAR:
```
Ta2AuI
1.0
0.0000 3.3657 3.3657
3.3657 0.0000 3.3657
3.3657 3.3657 0.0000
Au I Ta
1 1 2
Direct
0.5000 0.5000 0.5000 Au
0.0000 0.0000 0.0000 I
0.2500 0.2500 0.2500 Ta
0.7500 0.7500 0.7500 Ta
```


Material: AcPm5Pr2Tm
Method: DFT, PBE
State: relaxed

Summary:
- total energy (eV/f.u.) = -39.58
- symmetry = I4/mcm
- ΔH_f (0 K) (eV/atom) = 0.26
- total magnetic moment (μB/cell) = 0.0

Geometry as POSCAR:
```
AcPm5Pr2Tm
1.0
-2.0795 -0.8142 8.7102
-7.6538 -4.1667 -2.2168
8.6270 -4.5448 -3.0066
Pm Ac Pr Tm
10 2 4 2
Direct
0.3410 0.8410 0.2696 Pm
0.0000 0.0000 0.0000 Pm
0.8410 0.9286 0.2696 Pm
0.1590 0.0714 0.7304 Pm
0.6590 0.1590 0.7304 Pm
0.0714 0.5714 0.7304 Pm
0.5714 0.6590 0.7304 Pm
0.5000 0.5000 0.0000 Pm
0.4286 0.3410 0.2696 Pm
0.9286 0.4286 0.2696 Pm
0.2500 0.2500 0.5000 Ac
0.7500 0.7500 0.5000 Ac
0.3822 0.8822 0.0000 Pr
0.1178 0.3822 0.0000 Pr
0.8822 0.6178 0.0000 Pr
0.6178 0.1178 0.0000 Pr
0.7500 0.2500 0.5000 Tm
0.2500 0.7500 0.5000 Tm
```


total energy of number 2 (AcPm5Pr2Tm)?
-39.58 eV/f.u.